A relaxed structure of Cr2TeW. Source: Alexandria via LeMat-Bulk, functional GGA-PBE.

Cell: 8.2112 8.2112 8.2112 Å, 21.74 21.74 21.74°
With the nearest neighbours (Å) after each atom.
Positions (direct):
1 Cr 0.0067 0.0067 0.0067  3 W 2.57, 3 Te 2.81
2 Cr 0.4933 0.4933 0.4933  3 W 2.57, 3 Te 2.81
3 Te 0.2500 0.2500 0.2500  6 Cr 2.81, 6 Te 3.10
4 W 0.7500 0.7500 0.7500  6 Cr 2.57

Results
SG: R-3m
Magnetization: 2.96 Bohr magnetons per cell
Crystal system: trigonal
E_tot: -33.0 eV per formula unit